First-principles (PBE-GGA) data for a relaxed structure of LiPmDyCd, as listed in Alexandria via LeMat-Bulk.

abc: 5.322 5.322 5.322
angles: 60.00 60.00 60.00
Element x y z (fractional)
Li1 0.000 0.000 0.000
Pm1 0.250 0.250 0.250
Dy1 0.750 0.750 0.750
Cd1 0.500 0.500 0.500

Results
**Calculated density**: 6.65 g cm⁻³
**V**: 106.6 Å³ per cell
**Energy of formation from the pure elements**: -0.12 eV per atom
**Space-group type**: F-43m, No. 216
**Crystal system**: cubic